No. 1
DFT (PBE-GGA) results for SrAcZnCu after structural relaxation.

Unit cell a=4.386 b=4.386 c=8.283 alpha=89.76 beta=105.42 gamma=120.38
Atoms (fractional coordinates):
Sr1 0.352 0.040 0.392
Cu1 0.502 0.615 0.117
Ac1 0.999 0.865 0.864
Zn1 0.839 0.284 0.123

Output
total moment = 0.00 μB/f.u.
formation enthalpy at 0 K = -0.142 eV/atom
raw total energy = -2.93 eV per atom
polymorph energy (0 for the lowest one) = 0 meV/atom
Fermi-level density of states = 0.93 states/eV/atom
crystal system = monoclinic
SG = Cm (8)

=====

No. 2
DFT (PBE-GGA) results for Tb3AlGa3 after structural relaxation.

Unit cell a=4.369 b=5.899 c=13.513 alpha=84.03 beta=80.70 gamma=68.26
Atoms (fractional coordinates):
Tb1 0.520 0.335 0.624
Tb2 0.480 0.665 0.376
Tb3 0.261 0.255 0.223
Tb4 0.739 0.745 0.777
Tb5 0.394 0.288 0.924
Tb6 0.606 0.712 0.076
Ga1 0.131 0.283 0.455
Ga2 0.973 0.826 0.229
Ga3 0.869 0.717 0.545
Ga4 0.111 0.854 0.925
Ga5 0.889 0.146 0.075
Ga6 0.027 0.174 0.771
Al1 0.236 0.922 0.607
Al2 0.764 0.078 0.393

Output
total moment = 0.00 μB/f.u.
formation enthalpy at 0 K = -0.614 eV/atom
raw total energy = -4.43 eV per atom
Fermi-level density of states = 0.81 states/eV/atom
crystal system = monoclinic
SG = C2/m (12)

=====

No. 3
DFT (PBE-GGA) results for TlCuF4 after structural relaxation.

Unit cell a=5.917 b=5.917 c=5.073 alpha=125.68 beta=125.68 gamma=90.00
Atoms (fractional coordinates):
Cu1 0.500 0.500 0.000
F1 0.273 0.272 0.999
F2 0.726 0.727 0.999
F3 0.273 0.727 0.001
F4 0.728 0.274 0.001
Tl1 0.750 0.250 0.500

Output
total moment = 1.10 μB/f.u.
formation energy (no corrections) = -1.5445 eV/atom
raw total energy = -3.87 eV per atom
Fermi-level density of states = 0.27 states/eV/atom
crystal system = tetragonal
SG = I-4m2 (119)

=====

No. 4
DFT (PBE-GGA) results for VCrB4 after structural relaxation.

Unit cell a=3.003 b=3.003 c=5.588 alpha=105.59 beta=105.59 gamma=90.00
Atoms (fractional coordinates):
B1 0.832 0.332 0.665
B2 0.416 0.416 0.832
B3 0.668 0.168 0.335
B4 0.584 0.584 0.168
V1 0.000 0.000 0.000
Cr1 0.250 0.750 0.500

Output
total moment = 1.72 μB/f.u.
formation enthalpy at 0 K = -0.532 eV/atom
raw total energy = -8.11 eV per atom
Fermi-level density of states = 0.65 states/eV/atom
crystal system = tetragonal
SG = I-4m2 (119)

=====

No. 5
DFT (PBE-GGA) results for BaGa2Au4 after structural relaxation.

Unit cell a=4.570 b=7.449 c=18.296 alpha=90.00 beta=90.00 gamma=90.00
Atoms (fractional coordinates):
Ga1 0.250 0.819 0.042
Ga2 0.750 0.181 0.958
Ga3 0.750 0.010 0.241
Ga4 0.250 0.510 0.259
Ga5 0.250 0.681 0.542
Ga6 0.750 0.490 0.741
Ga7 0.250 0.990 0.759
Ga8 0.750 0.319 0.458
Au1 0.250 0.295 0.536
Au2 0.750 0.801 0.804
Au3 0.250 0.813 0.188
Au4 0.750 0.313 0.312
Au5 0.750 0.009 0.100
Au6 0.250 0.301 0.696
Au7 0.250 0.687 0.688
Au8 0.750 0.795 0.964
Au9 0.750 0.187 0.812
Au10 0.250 0.199 0.196
Au11 0.250 0.509 0.400
Au12 0.250 0.991 0.900
Au13 0.750 0.699 0.304
Au14 0.750 0.491 0.600
Au15 0.250 0.205 0.036
Au16 0.750 0.705 0.464
Ba1 0.250 0.502 0.886
Ba2 0.250 0.998 0.386
Ba3 0.750 0.498 0.114
Ba4 0.750 0.002 0.614

Output
total moment = 0.00 μB/f.u.
formation enthalpy at 0 K = -0.441 eV/atom
raw total energy = -3.45 eV per atom
Fermi-level density of states = 0.38 states/eV/atom
crystal system = orthorhombic
SG = Pnma (62)

=====

No. 6
DFT (PBE-GGA) results for CsFeMo2 after structural relaxation.

Unit cell a=4.626 b=4.626 c=4.626 alpha=60.00 beta=60.00 gamma=60.00
Atoms (fractional coordinates):
Mo1 0.750 0.750 0.750
Mo2 0.250 0.250 0.250
Cs1 0.500 0.500 0.500
Fe1 0.000 0.000 0.000

Output
total moment = 1.12 μB/f.u.
formation enthalpy at 0 K = 1.882 eV/atom
raw total energy = -5.86 eV per atom
Fermi-level density of states = 0.59 states/eV/atom
crystal system = cubic
SG = Fm-3m (225)

=====

No. 7
DFT (PBE-GGA) results for Na3Sb2Pb5 after structural relaxation.

Unit cell a=6.921 b=10.590 c=10.590 alpha=85.92 beta=70.93 gamma=70.93
Atoms (fractional coordinates):
Na1 0.750 0.000 0.000
Na2 0.634 0.625 0.106
Na3 0.250 0.000 0.000
Na4 0.866 0.894 0.375
Na5 0.134 0.106 0.625
Na6 0.366 0.375 0.894
Pb1 0.498 0.252 0.252
Pb2 0.382 0.769 0.467
Pb3 0.250 0.500 0.500
Pb4 0.502 0.748 0.748
Pb5 0.002 0.748 0.748
Pb6 0.750 0.500 0.500
Pb7 0.618 0.231 0.533
Pb8 0.882 0.467 0.769
Pb9 0.998 0.252 0.252
Pb10 0.118 0.533 0.231
Sb1 0.869 0.273 0.989
Sb2 0.131 0.727 0.011
Sb3 0.369 0.989 0.273
Sb4 0.631 0.011 0.727

Output
total moment = 0.00 μB/f.u.
formation energy (no corrections) = -0.0781 eV/atom
raw total energy = -3.15 eV per atom
Fermi-level density of states = 0.33 states/eV/atom
crystal system = orthorhombic
SG = Ibam (72)

=====

No. 8
DFT (PBE-GGA) results for ReWCl2 after structural relaxation.

Unit cell a=4.369 b=4.369 c=4.369 alpha=60.00 beta=60.00 gamma=60.00
Atoms (fractional coordinates):
W1 0.500 0.500 0.500
Cl1 0.750 0.750 0.750
Cl2 0.250 0.250 0.250
Re1 0.000 0.000 0.000

Output
total moment = 0.00 μB/f.u.
formation energy (no corrections) = 1.6093 eV/atom
raw total energy = -5.66 eV per atom
polymorph energy (0 for the lowest one) = 1791 meV/atom
Fermi-level density of states = 1.51 states/eV/atom
crystal system = cubic
SG = Fm-3m (225)